(1)
Material: K14Tl2O9
Method: DFT, GGA-PBE
State: relaxed

abc: 7.8364 7.8364 10.8883
angles: 90.00 90.00 120.00
Space group P-3 (No. 147)
Symmetry-distinct sites (fractional):
1 K 0.0000 0.0000 0.2496 (multiplicity 2)
2 K 0.0305 0.6732 0.4076 (multiplicity 6)
3 K 0.0652 0.3787 0.0933 (multiplicity 6)
4 Tl 0.3333 0.6667 0.7652 (multiplicity 2)
5 O 0.0000 0.0000 0.5000 (multiplicity 1)
6 O 0.0550 0.3555 0.8385 (multiplicity 6)
7 O 0.3333 0.6667 0.5417 (multiplicity 2)

**Formation energy without anion corrections**: -1.02 eV/atom

---

(2)
Material: ScFe2Ir
Method: DFT, GGA-PBE
State: relaxed

abc: 3.724 3.724 8.511
angles: 90.00 90.00 90.00
Space group I4/mmm (No. 139)
Symmetry-distinct sites (fractional):
1 Sc 0.000 0.000 0.000 (multiplicity 2)
2 Fe 0.000 0.500 0.250 (multiplicity 4)
3 Ir 0.000 0.000 0.500 (multiplicity 2)

**Energy relative to the elements**: -0.19 eV/atom

---

(3)
Material: SrReW2
Method: DFT, GGA-PBE
State: relaxed

abc: 4.862 4.862 3.072
angles: 90.00 90.00 90.00
Space group P4/mmm (No. 123)
Symmetry-distinct sites (fractional):
1 Sr 0.000 0.000 0.000 (multiplicity 1)
2 Re 0.500 0.500 0.000 (multiplicity 1)
3 W 0.000 0.500 0.500 (multiplicity 2)

**E above lowest polymorph**: 600 meV per atom
**Energy relative to the elements**: 1.35 eV/atom

---

(4)
Material: NaGa2Sb2
Method: DFT, GGA-PBE
State: relaxed

abc: 6.899 4.152 9.879
angles: 90.00 103.27 90.00
Space group P2_1/m (No. 11)
Symmetry-distinct sites (fractional):
1 Na 0.097 0.250 0.264 (multiplicity 2)
2 Ga 0.414 0.750 0.101 (multiplicity 2)
3 Ga 0.492 0.250 0.634 (multiplicity 2)
4 Sb 0.210 0.250 0.954 (multiplicity 2)
5 Sb 0.241 0.750 0.541 (multiplicity 2)

**Formation energy without anion corrections**: -0.14 eV/atom
**E above lowest polymorph**: 0 meV per atom

---

| no. | volume (Å³ per atom) |
| --- | --- |
| 1 | 23.16 |
| 2 | 14.76 |
| 3 | 18.16 |
| 4 | 27.54 |